# 1
# BaAg2

BaAg2 after structural relaxation (GGA-PBEsol, the Alexandria database).

Calculated values
ΔE_f: -0.230 eV per atom
M_tot: 0.000 μB/cell

The structure in CIF format:
```
data_BaAg2
_chemical_formula_sum 'Ba2 Ag4'
_space_group_name_H-M_alt 'P 1'
_space_group_IT_number 1
_cell_length_a 6.233
_cell_length_b 6.233
_cell_length_c 6.233
_cell_angle_alpha 133.57
_cell_angle_beta 101.20
_cell_angle_gamma 96.70
loop_
_space_group_symop_operation_xyz
'x,y,z'
loop_
_atom_site_label
_atom_site_type_symbol
_atom_site_fract_x
_atom_site_fract_y
_atom_site_fract_z
Ba1 Ba 0.295 0.045 0.250
Ba2 Ba 0.705 0.955 0.750
Ag1 Ag 0.103 0.664 0.440
Ag2 Ag 0.276 0.336 0.940
Ag3 Ag 0.724 0.664 0.060
Ag4 Ag 0.897 0.336 0.560
```

***

# 2
# Ba4Ag

Ba4Ag after structural relaxation (GGA-PBEsol, the Alexandria database).

Calculated values
ΔE_f: -0.064 eV per atom
M_tot: 0.000 μB/cell

The structure in CIF format:
```
data_Ba4Ag
_chemical_formula_sum 'Ba4 Ag1'
_space_group_name_H-M_alt 'P 1'
_space_group_IT_number 1
_cell_length_a 7.832
_cell_length_b 7.832
_cell_length_c 7.832
_cell_angle_alpha 93.98
_cell_angle_beta 93.98
_cell_angle_gamma 149.44
loop_
_space_group_symop_operation_xyz
'x,y,z'
loop_
_atom_site_label
_atom_site_type_symbol
_atom_site_fract_x
_atom_site_fract_y
_atom_site_fract_z
Ba1 Ba 0.068 0.252 0.320
Ba2 Ba 0.252 0.932 0.184
Ba3 Ba 0.748 0.068 0.816
Ba4 Ba 0.932 0.748 0.680
Ag1 Ag 0.500 0.500 0.000
```

***

# 3
# Ba3Ag

Ba3Ag after structural relaxation (GGA-PBEsol, the Alexandria database).

Calculated values
energy relative to the lowest polymorph listed for this composition: 0.060 eV per atom
ΔE_f: -0.032 eV per atom
M_tot: 0.000 μB/cell

The structure in CIF format:
```
data_Ba3Ag
_chemical_formula_sum 'Ba6 Ag2'
_space_group_name_H-M_alt 'P 1'
_space_group_IT_number 1
_cell_length_a 4.380
_cell_length_b 7.859
_cell_length_c 11.004
_cell_angle_alpha 90.00
_cell_angle_beta 90.00
_cell_angle_gamma 90.00
loop_
_space_group_symop_operation_xyz
'x,y,z'
loop_
_atom_site_label
_atom_site_type_symbol
_atom_site_fract_x
_atom_site_fract_y
_atom_site_fract_z
Ba1 Ba 0.250 0.004 0.164
Ba2 Ba 0.250 0.250 0.536
Ba3 Ba 0.250 0.496 0.164
Ba4 Ba 0.750 0.504 0.836
Ba5 Ba 0.750 0.750 0.464
Ba6 Ba 0.750 0.996 0.836
Ag1 Ag 0.250 0.750 0.686
Ag2 Ag 0.750 0.250 0.314
```

***

# 4
# Ba3Ag

Ba3Ag after structural relaxation (GGA-PBEsol, the Alexandria database).

Calculated values
energy relative to the lowest polymorph listed for this composition: 0.000 eV per atom
ΔE_f: -0.092 eV per atom
M_tot: 0.000 μB/cell

The structure in CIF format:
```
data_Ba3Ag
_chemical_formula_sum 'Ba3 Ag1'
_space_group_name_H-M_alt 'P 1'
_space_group_IT_number 1
_cell_length_a 4.108
_cell_length_b 4.108
_cell_length_c 10.666
_cell_angle_alpha 90.00
_cell_angle_beta 90.00
_cell_angle_gamma 90.00
loop_
_space_group_symop_operation_xyz
'x,y,z'
loop_
_atom_site_label
_atom_site_type_symbol
_atom_site_fract_x
_atom_site_fract_y
_atom_site_fract_z
Ba1 Ba 0.000 0.000 0.000
Ba2 Ba 0.500 0.500 0.322
Ba3 Ba 0.500 0.500 0.678
Ag1 Ag 0.000 0.000 0.500
```

***

# 5
# BaAg5

BaAg5 after structural relaxation (GGA-PBEsol, the Alexandria database).

Calculated values
energy relative to the lowest polymorph listed for this composition: 0.064 eV per atom
ΔE_f: -0.078 eV per atom
M_tot: 0.000 μB/cell

The structure in CIF format:
```
data_BaAg5
_chemical_formula_sum 'Ba1 Ag5'
_space_group_name_H-M_alt 'P 1'
_space_group_IT_number 1
_cell_length_a 5.619
_cell_length_b 5.619
_cell_length_c 5.619
_cell_angle_alpha 60.00
_cell_angle_beta 60.00
_cell_angle_gamma 60.00
loop_
_space_group_symop_operation_xyz
'x,y,z'
loop_
_atom_site_label
_atom_site_type_symbol
_atom_site_fract_x
_atom_site_fract_y
_atom_site_fract_z
Ba1 Ba 0.000 0.000 0.000
Ag1 Ag 0.128 0.624 0.624
Ag2 Ag 0.250 0.250 0.250
Ag3 Ag 0.624 0.128 0.624
Ag4 Ag 0.624 0.624 0.128
Ag5 Ag 0.624 0.624 0.624
```

***

# 6
# BaAg

BaAg after structural relaxation (GGA-PBEsol, the Alexandria database).

Calculated values
ΔE_f: -0.224 eV per atom
M_tot: 0.000 μB/cell

The structure in CIF format:
```
data_BaAg
_chemical_formula_sum 'Ba4 Ag4'
_space_group_name_H-M_alt 'P 1'
_space_group_IT_number 1
_cell_length_a 8.604
_cell_length_b 4.862
_cell_length_c 6.541
_cell_angle_alpha 90.00
_cell_angle_beta 90.00
_cell_angle_gamma 90.00
loop_
_space_group_symop_operation_xyz
'x,y,z'
loop_
_atom_site_label
_atom_site_type_symbol
_atom_site_fract_x
_atom_site_fract_y
_atom_site_fract_z
Ba1 Ba 0.179 0.250 0.128
Ba2 Ba 0.321 0.750 0.628
Ba3 Ba 0.679 0.250 0.372
Ba4 Ba 0.821 0.750 0.872
Ag1 Ag 0.033 0.250 0.612
Ag2 Ag 0.467 0.750 0.112
Ag3 Ag 0.533 0.250 0.888
Ag4 Ag 0.967 0.750 0.388
```

***

Q: Which value of M_tot does entry 1 give?
A: 0.000 μB/cell